1.
Here is Cd2Ge2Pd5 after structural relaxation from the Alexandria database. Energies are from PBE.

## Properties
density: 9.5 g cm⁻³
energy of formation from the pure elements: -0.333 eV/atom
E: -4.447 eV per atom

Cell: 6.6456 6.7945 7.7593 Å, 115.97 90.00 90.00°
Last column: nearest neighbours and their distance in Å.
Fractional coordinates of all 18 atoms:
Pd1 0.0000 0.0000 0.0000  4 Ge 2.56-2.61
Pd2 0.8444 0.7777 0.2354  3 Ge 2.50-2.63, 1 Cd 2.80
Pd3 0.3444 0.7223 0.7646  3 Ge 2.50-2.63, 1 Cd 2.80
Pd4 0.6556 0.2777 0.2354  3 Ge 2.50-2.63, 1 Cd 2.80
Pd5 0.6556 0.0424 0.7646  3 Ge 2.50-2.63, 1 Cd 2.80
Ge1 0.8559 0.3572 0.0000  8 Pd 2.50-2.63, 1 Ge 2.73
Ge2 0.1441 0.6428 0.0000  8 Pd 2.50-2.63, 1 Ge 2.73
Cd1 0.0000 0.2132 0.4263  7 Pd 2.80-2.97
Pd6 0.8444 0.5424 0.7646  3 Ge 2.50-2.63, 1 Cd 2.80
Pd7 0.3444 0.9576 0.2354  3 Ge 2.50-2.63, 1 Cd 2.80
Cd2 0.0000 0.7868 0.5737  7 Pd 2.80-2.97
Pd8 0.5000 0.5000 0.0000  4 Ge 2.56-2.61
Pd9 0.1556 0.4576 0.2354  3 Ge 2.50-2.63, 1 Cd 2.80
Pd10 0.1556 0.2223 0.7646  3 Ge 2.50-2.63, 1 Cd 2.80
Cd3 0.5000 0.7132 0.4263  7 Pd 2.80-2.97
Ge3 0.6441 0.8572 0.0000  8 Pd 2.50-2.63, 1 Ge 2.73
Cd4 0.5000 0.2868 0.5737  7 Pd 2.80-2.97
Ge4 0.3559 0.1428 0.0000  8 Pd 2.50-2.63, 1 Ge 2.73



2.
Here is CdGe2Pd7 after structural relaxation from the Alexandria database. Energies are from PBE.

## Properties
density: 10.0 g cm⁻³
energy of formation from the pure elements: -0.426 eV/atom
distance to the lowest polymorph of the same formula: 0.00 eV per formula unit
E: -5.075 eV per atom

Cell: 4.0816 4.0816 10.3915 Å, 101.33 101.33 90.00°
Last column: nearest neighbours and their distance in Å.
Fractional coordinates of all 10 atoms:
Pd1 0.1019 0.6019 0.2038  2 Ge 2.49
Cd1 0.0000 0.0000 0.0000  12 Pd 2.88-2.89
Pd2 0.6019 0.1019 0.2038  2 Ge 2.49
Ge1 0.6729 0.6729 0.3459  8 Pd 2.49-2.56
Pd3 0.7500 0.2500 0.5000  4 Ge 2.56
Pd4 0.2500 0.7500 0.5000  4 Ge 2.56
Ge2 0.3271 0.3271 0.6541  8 Pd 2.49-2.56
Pd5 0.3981 0.8981 0.7962  2 Ge 2.49
Pd6 0.8981 0.3981 0.7962  2 Ge 2.49
Pd7 0.5000 0.5000 0.0000  8 Pd 2.88, 4 Cd 2.89



3.
Here is Cd3Ge2Pd4 after structural relaxation from the Alexandria database. Energies are from PBE.

## Properties
density: 8.8 g cm⁻³
energy of formation from the pure elements: -0.312 eV/atom
E: -3.951 eV per atom

Cell: 3.9746 5.3356 8.7496 Å, 97.15 90.00 111.87°
Last column: nearest neighbours and their distance in Å.
Fractional coordinates of all 9 atoms:
Pd1 0.1109 0.2217 0.6225  2 Ge 2.51, 1 Cd 2.81
Cd1 0.6068 0.2135 0.3847  6 Pd 2.81-2.93, 1 Ge 3.01, 1 Cd 3.11
Pd2 0.6951 0.3903 0.0910  3 Ge 2.50-2.60
Ge1 0.6762 0.3524 0.7918  5 Pd 2.50-2.60
Cd2 0.3932 0.7865 0.6153  6 Pd 2.81-2.93, 1 Ge 3.01, 1 Cd 3.11
Pd3 0.8891 0.7783 0.3775  2 Ge 2.51, 1 Cd 2.81
Pd4 0.3049 0.6097 0.9090  3 Ge 2.50-2.60
Ge2 0.3238 0.6476 0.2082  5 Pd 2.50-2.60
Cd3 0.0000 0.0000 0.0000  4 Pd 2.81



4.
Here is PmCdGe2Pd after structural relaxation from the Alexandria database. Energies are from PBE.

## Properties
density: 8.1 g cm⁻³
energy of formation from the pure elements: -0.505 eV/atom
E: -4.523 eV per atom

Cell: 5.9585 5.9160 5.8974 Å, 90.00 90.00 90.00°
Last column: nearest neighbours and their distance in Å.
Fractional coordinates of all 10 atoms:
Pd1 0.0000 0.5000 0.0000  4 Ge 2.65, 2 Cd 2.81, 2 Pd 2.96
Ge1 0.7626 0.2500 0.2849  1 Ge 2.54, 2 Pd 2.65, 1 Cd 2.73
Cd1 0.4008 0.2500 0.0000  2 Ge 2.73, 2 Pd 2.81
Pm1 0.7642 0.7500 0.5000  8 Ge 3.09-3.39, 2 Cd 3.11
Ge2 0.7626 0.2500 0.7151  1 Ge 2.54, 2 Pd 2.65, 1 Cd 2.73
Ge3 0.2374 0.7500 0.7151  1 Ge 2.54, 2 Pd 2.65, 1 Cd 2.73
Pm2 0.2358 0.2500 0.5000  8 Ge 3.09-3.39, 2 Cd 3.11
Ge4 0.2374 0.7500 0.2849  1 Ge 2.54, 2 Pd 2.65, 1 Cd 2.73
Cd2 0.5992 0.7500 0.0000  2 Ge 2.73, 2 Pd 2.81
Pd2 0.0000 0.0000 0.0000  4 Ge 2.65, 2 Cd 2.81, 2 Pd 2.96



- The highest energy of formation from the pure elements belongs to which entry?
  Cd3Ge2Pd4



What did the first record say?
Here is Cd2Ge2Pd5 after structural relaxation from the Alexandria database. Energies are from PBE.

## Properties
density: 9.5 g cm⁻³
energy of formation from the pure elements: -0.333 eV/atom
E: -4.447 eV per atom

Cell: 6.6456 6.7945 7.7593 Å, 115.97 90.00 90.00°
Last column: nearest neighbours and their distance in Å.
Fractional coordinates of all 18 atoms:
Pd1 0.0000 0.0000 0.0000  4 Ge 2.56-2.61
Pd2 0.8444 0.7777 0.2354  3 Ge 2.50-2.63, 1 Cd 2.80
Pd3 0.3444 0.7223 0.7646  3 Ge 2.50-2.63, 1 Cd 2.80
Pd4 0.6556 0.2777 0.2354  3 Ge 2.50-2.63, 1 Cd 2.80
Pd5 0.6556 0.0424 0.7646  3 Ge 2.50-2.63, 1 Cd 2.80
Ge1 0.8559 0.3572 0.0000  8 Pd 2.50-2.63, 1 Ge 2.73
Ge2 0.1441 0.6428 0.0000  8 Pd 2.50-2.63, 1 Ge 2.73
Cd1 0.0000 0.2132 0.4263  7 Pd 2.80-2.97
Pd6 0.8444 0.5424 0.7646  3 Ge 2.50-2.63, 1 Cd 2.80
Pd7 0.3444 0.9576 0.2354  3 Ge 2.50-2.63, 1 Cd 2.80
Cd2 0.0000 0.7868 0.5737  7 Pd 2.80-2.97
Pd8 0.5000 0.5000 0.0000  4 Ge 2.56-2.61
Pd9 0.1556 0.4576 0.2354  3 Ge 2.50-2.63, 1 Cd 2.80
Pd10 0.1556 0.2223 0.7646  3 Ge 2.50-2.63, 1 Cd 2.80
Cd3 0.5000 0.7132 0.4263  7 Pd 2.80-2.97
Ge3 0.6441 0.8572 0.0000  8 Pd 2.50-2.63, 1 Ge 2.73
Cd4 0.5000 0.2868 0.5737  7 Pd 2.80-2.97
Ge4 0.3559 0.1428 0.0000  8 Pd 2.50-2.63, 1 Ge 2.73